No. 1
Here is an optimized crystal structure of NaTi3 from Alexandria. Energies are from PBE-GGA.

a b c (Å): 6.1360 6.1360 4.7614
angles (deg): 90.00 90.00 120.00
Fractional positions:
1 Na 0.3333 0.6667 0.7500
2 Na 0.6667 0.3333 0.2500
3 Ti 0.1540 0.3080 0.2500
4 Ti 0.6920 0.8460 0.2500
5 Ti 0.1540 0.8460 0.2500
6 Ti 0.8460 0.6920 0.7500
7 Ti 0.3080 0.1540 0.7500
8 Ti 0.8460 0.1540 0.7500

Properties
Energy of formation from the pure elements (kJ/mol of formula units): 258
Space-group type: No. 194



No. 2
Here is an optimized crystal structure of NaTi from Alexandria. Energies are from PBE-GGA.

a b c (Å): 16.3541 2.8925 5.9997
angles (deg): 90.00 90.00 90.00
Fractional positions:
1 Na 0.8172 0.5068 0.0000
2 Na 0.3172 0.4932 0.5000
3 Na 0.6828 0.4932 0.5000
4 Na 0.1828 0.5068 0.0000
5 Na 0.0000 0.0144 0.0000
6 Na 0.5000 0.9856 0.5000
7 Ti 0.3678 0.9968 0.0000
8 Ti 0.8678 0.0032 0.5000
9 Ti 0.1322 0.0032 0.5000
10 Ti 0.6322 0.9968 0.0000
11 Ti 0.0000 0.5061 0.5000
12 Ti 0.5000 0.4939 0.0000

Properties
Energy of formation from the pure elements (kJ/mol of formula units): 126
Space-group type: No. 59



No. 3
Here is an optimized crystal structure of NaTi from Alexandria. Energies are from PBE-GGA.

a b c (Å): 7.0218 7.0218 7.0218
angles (deg): 90.00 90.00 90.00
Each line ends with the local moment (μB).
Fractional positions:
1 Na 0.2500 0.2500 0.2500  0.04
2 Na 0.2500 0.7500 0.7500  0.04
3 Na 0.7500 0.2500 0.7500  0.04
4 Na 0.7500 0.7500 0.2500  0.04
5 Ti 0.0000 0.0000 0.0000  2.12
6 Ti 0.0000 0.5000 0.5000  2.12
7 Ti 0.5000 0.0000 0.5000  2.12
8 Ti 0.5000 0.5000 0.0000  2.12

Properties
Energy of formation from the pure elements (kJ/mol of formula units): 409
Space-group type: No. 216



No. 4
Here is an optimized crystal structure of NaTi from Alexandria. Energies are from PBE-GGA.

a b c (Å): 6.0065 6.0065 6.0065
angles (deg): 90.00 90.00 90.00
Each line ends with the local moment (μB).
Fractional positions:
1 Na 0.0000 0.0000 0.0000  0.04
2 Na 0.0000 0.5000 0.5000  0.04
3 Na 0.5000 0.0000 0.5000  0.04
4 Na 0.5000 0.5000 0.0000  0.04
5 Ti 0.5000 0.5000 0.5000  1.92
6 Ti 0.5000 0.0000 0.0000  1.92
7 Ti 0.0000 0.5000 0.0000  1.92
8 Ti 0.0000 0.0000 0.5000  1.92

Properties
Energy of formation from the pure elements (kJ/mol of formula units): 292
Space-group type: No. 225



No. 5
Here is an optimized crystal structure of Na3Ti from Alexandria. Energies are from PBE-GGA.

a b c (Å): 6.9573 6.9573 5.7553
angles (deg): 90.00 90.00 120.00
Each line ends with the local moment (μB).
Fractional positions:
1 Na 0.1713 0.3427 0.2500  0.01
2 Na 0.6573 0.8287 0.2500  0.01
3 Na 0.1713 0.8287 0.2500  0.01
4 Na 0.8287 0.6573 0.7500  0.01
5 Na 0.3427 0.1713 0.7500  0.01
6 Na 0.8287 0.1713 0.7500  0.01
7 Ti 0.3333 0.6667 0.7500  1.99
8 Ti 0.6667 0.3333 0.2500  1.99

Properties
Energy of formation from the pure elements (kJ/mol of formula units): 274
Space-group type: No. 194



No. 6
Here is an optimized crystal structure of NaTi from Alexandria. Energies are from PBE-GGA.

a b c (Å): 10.9000 8.8233 7.9917
angles (deg): 90.00 90.00 90.00
Each line ends with the local moment (μB).
Fractional positions:
1 Na 0.0000 0.1624 0.0000  0.00
2 Na 0.0000 0.8376 0.0000  0.00
3 Na 0.2500 0.5876 0.2500  0.00
4 Na 0.2500 0.9124 0.2500  0.00
5 Na 0.0000 0.6624 0.5000  0.00
6 Na 0.0000 0.3376 0.5000  0.00
7 Na 0.2500 0.0876 0.7500  0.00
8 Na 0.2500 0.4124 0.7500  0.00
9 Na 0.5000 0.1624 0.5000  0.00
10 Na 0.5000 0.8376 0.5000  0.00
11 Na 0.7500 0.5876 0.7500  0.00
12 Na 0.7500 0.9124 0.7500  0.00
13 Na 0.5000 0.6624 0.0000  0.00
14 Na 0.5000 0.3376 0.0000  0.00
15 Na 0.7500 0.0876 0.2500  0.00
16 Na 0.7500 0.4124 0.2500  0.00
17 Ti 0.0000 0.0000 0.3697  0.45
18 Ti 0.0000 0.0000 0.6303  0.45
19 Ti 0.2500 0.7500 0.8803  0.45
20 Ti 0.2500 0.7500 0.6197  0.45
21 Ti 0.0000 0.5000 0.8697  0.45
22 Ti 0.0000 0.5000 0.1303  0.45
23 Ti 0.2500 0.2500 0.3803  0.45
24 Ti 0.2500 0.2500 0.1197  0.45
25 Ti 0.5000 0.0000 0.8697  0.45
26 Ti 0.5000 0.0000 0.1303  0.45
27 Ti 0.7500 0.7500 0.3803  0.45
28 Ti 0.7500 0.7500 0.1197  0.45
29 Ti 0.5000 0.5000 0.3697  0.45
30 Ti 0.5000 0.5000 0.6303  0.45
31 Ti 0.7500 0.2500 0.8803  0.45
32 Ti 0.7500 0.2500 0.6197  0.45

Properties
Energy of formation from the pure elements (kJ/mol of formula units): 195
Space-group type: No. 70



Question: energy of formation from the pure elements of number 2 (NaTi)?
Answer: 126 kJ/mol of formula units